one:
Entry from Alexandria: a geometry-optimized CsPd3O structure (PBE). Values from VASP.

Values from the calculation:
- Symmetry: Pm-3m (221)
- Theoretical density: 5212 kg/m3

Structure (Quantum ESPRESSO input):
```
&SYSTEM
  ibrav = 0, nat = 5, ntyp = 3
/
ATOMIC_SPECIES
Cs 132.91 Cs.upf
O 16.00 O.upf
Pd 106.42 Pd.upf
CELL_PARAMETERS angstrom
5.3034 0.0000 0.0000
0.0000 5.3034 0.0000
0.0000 0.0000 5.3034
ATOMIC_POSITIONS angstrom
Cs 0.0000 0.0000 0.0000
O 2.6517 2.6517 2.6517
Pd 0.0000 2.6517 0.0000
Pd 0.0000 0.0000 2.6517
Pd 2.6517 0.0000 0.0000
```

two:
Entry from Alexandria: a geometry-optimized CsPd3O structure (PBE). Values from VASP.

Values from the calculation:
- Symmetry: Pm-3m (221)
- Theoretical density: 8222 kg/m3

Structure (Quantum ESPRESSO input):
```
&SYSTEM
  ibrav = 0, nat = 5, ntyp = 3
/
ATOMIC_SPECIES
Cs 132.91 Cs.upf
O 16.00 O.upf
Pd 106.42 Pd.upf
CELL_PARAMETERS angstrom
-1.7722 -0.1564 -4.1940
-2.8047 -3.3425 1.3098
-3.1221 3.0916 1.2040
ATOMIC_POSITIONS angstrom
Cs -3.8495 -0.2037 -0.8401
O 0.0000 0.0000 0.0000
Pd -1.4024 -1.6713 0.6549
Pd -1.5610 1.5458 0.6020
Pd -0.8861 -0.0782 -2.0970
```

Stability, highest: two

one:
Entry from Alexandria: a geometry-optimized Cs2Pd2O structure (PBE). Values from VASP.

Values from the calculation:
- Symmetry: P4/mbm (127)
- Theoretical density: 6812 kg/m3

Structure (Quantum ESPRESSO input):
```
&SYSTEM
  ibrav = 0, nat = 10, ntyp = 3
/
ATOMIC_SPECIES
Cs 132.91 Cs.upf
O 16.00 O.upf
Pd 106.42 Pd.upf
CELL_PARAMETERS angstrom
-2.5206 5.6615 -2.5345
1.2464 -2.2176 -6.1934
-4.8822 -2.2525 -0.1760
ATOMIC_POSITIONS angstrom
Cs -2.0511 -1.6049 -4.7818
Cs -3.1443 0.9287 -6.8791
Cs -4.1054 2.7962 -4.1220
Cs -3.0121 0.2627 -2.0248
O 0.0000 0.0000 0.0000
O -0.6371 1.7219 -4.3639
Pd 0.2036 0.0254 -5.9712
Pd -1.2545 3.2081 -6.2556
Pd -1.4778 3.4185 -2.7567
Pd -0.0197 0.2358 -2.4723
```

two:
Entry from Alexandria: a geometry-optimized Cs2Pd2O structure (PBE). Values from VASP.

Values from the calculation:
- Symmetry: I4/mmm (139)
- Theoretical density: 5217 kg/m3

Structure (Quantum ESPRESSO input):
```
&SYSTEM
  ibrav = 0, nat = 5, ntyp = 3
/
ATOMIC_SPECIES
Cs 132.91 Cs.upf
O 16.00 O.upf
Pd 106.42 Pd.upf
CELL_PARAMETERS angstrom
6.8040 0.0000 0.0000
0.0000 6.8040 0.0000
3.4020 3.4020 3.4010
ATOMIC_POSITIONS angstrom
Cs 6.8040 3.4020 1.7005
Cs 3.4020 6.8040 1.7005
O 0.0000 0.0000 0.0000
Pd 3.4020 3.4020 1.3472
Pd 6.8040 6.8040 2.0538
```

Stability, highest: two